K2SrMnO4 | PBE with a Hubbard U | relaxed

Structure (POSCAR):
```
K2SrMnO4
1.0
-4.822 -2.026 -3.353
-0.517 -6.837 -0.881
-9.020 -1.800 8.305
Sr Mn K O
2 2 4 8
direct
0.750 0.500 0.500
0.000 0.000 0.000
0.250 0.500 0.500
0.500 0.000 0.000
0.207 0.000 0.586
0.957 0.500 0.086
0.793 0.000 0.414
0.543 0.500 0.914
0.180 0.317 0.435
0.365 0.817 0.065
0.385 0.683 0.435
0.819 0.817 0.935
0.931 0.683 0.565
0.503 0.317 0.565
0.247 0.183 0.935
0.570 0.183 0.065
```

Summary:
- Calculated total energy: -42.6 eV/f.u.
- Space group: Fddd (70)